{
  "formula": "ZnTe3F",
  "functional": "meta-GGA SCAN",
  "state": "single point on PBEsol structure",
  "e_form_raw_ev_per_atom": 0.2186,
  "volume_a3_per_cell": 119.10,
  "lattice_angstrom": [[4.920, 0.000, 0.000], [0.000, 4.920, 0.000], [0.000, 0.000, 4.920]],
  "species": ["Zn", "Te", "Te", "Te", "F"],
  "frac_coords": [[0.000, 0.000, 0.000], [0.000, 0.500, 0.500], [0.500, 0.000, 0.500], [0.500, 0.500, 0.000], [0.500, 0.500, 0.500]]
}

{
  "formula": "ZrTe2F",
  "functional": "meta-GGA SCAN",
  "state": "single point on PBEsol structure",
  "e_form_raw_ev_per_atom": -0.6623,
  "volume_a3_per_cell": 233.96,
  "lattice_angstrom": [[-2.982, 2.982, 6.576], [2.982, -2.982, 6.576], [2.982, 2.982, -6.576]],
  "species": ["Zr", "Zr", "Te", "Te", "Te", "Te", "F", "F"],
  "frac_coords": [[0.000, 0.000, 0.000], [0.750, 0.250, 0.500], [0.146, 0.625, 0.021], [0.375, 0.396, 0.521], [0.604, 0.125, 0.979], [0.875, 0.854, 0.479], [0.250, 0.750, 0.500], [0.500, 0.500, 0.000]]
}

{
  "formula": "ThF4",
  "functional": "meta-GGA SCAN",
  "state": "single point on PBEsol structure",
  "e_form_raw_ev_per_atom": -4.3475,
  "volume_a3_per_cell": 490.81,
  "lattice_angstrom": [[6.509, -5.488, 0.000], [6.509, 5.488, 0.000], [-5.037, 0.000, 6.870]],
  "species": ["Th", "Th", "Th", "Th", "Th", "Th", "F", "F", "F", "F", "F", "F", "F", "F", "F", "F", "F", "F", "F", "F", "F", "F", "F", "F", "F", "F", "F", "F", "F", "F"],
  "frac_coords": [[0.212, 0.788, 0.750], [0.224, 0.369, 0.171], [0.369, 0.224, 0.671], [0.631, 0.776, 0.329], [0.776, 0.631, 0.829], [0.788, 0.212, 0.250], [0.000, 0.500, 0.000], [0.026, 0.723, 0.846], [0.068, 0.176, 0.458], [0.176, 0.068, 0.958], [0.187, 0.598, 0.433], [0.260, 0.320, 0.898], [0.262, 0.503, 0.720], [0.277, 0.974, 0.654], [0.320, 0.260, 0.398], [0.397, 0.603, 0.250], [0.402, 0.813, 0.067], [0.497, 0.738, 0.780], [0.500, 0.000, 0.500], [0.503, 0.262, 0.220], [0.598, 0.187, 0.933], [0.603, 0.397, 0.750], [0.680, 0.740, 0.602], [0.723, 0.026, 0.346], [0.738, 0.497, 0.280], [0.740, 0.680, 0.102], [0.813, 0.402, 0.567], [0.824, 0.932, 0.042], [0.932, 0.824, 0.542], [0.974, 0.277, 0.154]]
}

{
  "formula": "TiTl3F",
  "functional": "meta-GGA SCAN",
  "state": "single point on PBEsol structure",
  "e_form_raw_ev_per_atom": 0.0439,
  "volume_a3_per_cell": 157.42,
  "lattice_angstrom": [[5.399, 0.000, 0.000], [0.000, 5.399, 0.000], [0.000, 0.000, 5.399]],
  "species": ["Ti", "Tl", "Tl", "Tl", "F"],
  "frac_coords": [[0.000, 0.000, 0.000], [0.000, 0.000, 0.500], [0.000, 0.500, 0.000], [0.500, 0.000, 0.000], [0.500, 0.500, 0.500]]
}

{
  "formula": "YTiF2",
  "functional": "meta-GGA SCAN",
  "state": "single point on PBEsol structure",
  "e_form_raw_ev_per_atom": -2.0350,
  "volume_a3_per_cell": 128.79,
  "lattice_angstrom": [[-2.271, 2.271, 6.244], [2.271, -2.271, 6.244], [2.271, 2.271, -6.244]],
  "species": ["Y", "Y", "Ti", "Ti", "F", "F", "F", "F"],
  "frac_coords": [[0.000, 0.000, 0.000], [0.750, 0.250, 0.500], [0.250, 0.750, 0.500], [0.500, 0.500, 0.000], [0.248, 0.625, 0.123], [0.375, 0.498, 0.623], [0.502, 0.125, 0.877], [0.875, 0.752, 0.377]]
}

{
  "formula": "YTiF3",
  "functional": "meta-GGA SCAN",
  "state": "single point on PBEsol structure",
  "e_form_raw_ev_per_atom": -2.3430,
  "volume_a3_per_cell": 72.90,
  "lattice_angstrom": [[4.177, 0.000, 0.000], [0.000, 4.177, 0.000], [0.000, 0.000, 4.177]],
  "species": ["Y", "Ti", "F", "F", "F"],
  "frac_coords": [[0.000, 0.000, 0.000], [0.500, 0.500, 0.500], [0.000, 0.500, 0.500], [0.500, 0.000, 0.500], [0.500, 0.500, 0.000]]
}

{
  "formula": "TiZn3F",
  "functional": "meta-GGA SCAN",
  "state": "single point on PBEsol structure",
  "e_form_raw_ev_per_atom": 0.6421,
  "volume_a3_per_cell": 130.32,
  "lattice_angstrom": [[5.070, 0.000, 0.000], [0.000, 5.070, 0.000], [0.000, 0.000, 5.070]],
  "species": ["Ti", "Zn", "Zn", "Zn", "F"],
  "frac_coords": [[0.000, 0.000, 0.000], [0.000, 0.000, 0.500], [0.000, 0.500, 0.000], [0.500, 0.000, 0.000], [0.500, 0.500, 0.500]]
}

{
  "formula": "TiZnF5",
  "functional": "meta-GGA SCAN",
  "state": "single point on PBEsol structure",
  "e_form_raw_ev_per_atom": -3.0502,
  "volume_a3_per_cell": 377.71,
  "lattice_angstrom": [[5.260, 0.000, 0.000], [0.000, 9.807, 0.000], [-2.333, 0.000, 7.322]],
  "species": ["Ti", "Ti", "Ti", "Ti", "Zn", "Zn", "Zn", "Zn", "F", "F", "F", "F", "F", "F", "F", "F", "F", "F", "F", "F", "F", "F", "F", "F", "F", "F", "F", "F"],
  "frac_coords": [[0.073, 0.242, 0.368], [0.073, 0.258, 0.868], [0.927, 0.742, 0.132], [0.927, 0.758, 0.632], [0.481, 0.013, 0.208], [0.481, 0.487, 0.708], [0.519, 0.513, 0.292], [0.519, 0.987, 0.792], [0.086, 0.219, 0.622], [0.086, 0.281, 0.122], [0.167, 0.588, 0.209], [0.167, 0.912, 0.709], [0.227, 0.633, 0.672], [0.227, 0.867, 0.172], [0.341, 0.107, 0.962], [0.341, 0.393, 0.462], [0.366, 0.115, 0.392], [0.366, 0.385, 0.892], [0.634, 0.615, 0.108], [0.634, 0.885, 0.608], [0.659, 0.607, 0.538], [0.659, 0.893, 0.038], [0.773, 0.133, 0.828], [0.773, 0.367, 0.328], [0.833, 0.088, 0.291], [0.833, 0.412, 0.791], [0.914, 0.719, 0.878], [0.914, 0.781, 0.378]]
}

Q: Which formula does entry 6 have?
A: YTiF3

Q: Number 8 is which compound?
A: TiZnF5